Entry from the Alexandria database: crystalline CoCuRu2 at its relaxed geometry (PBE).

For the calculated formation energy, the calculation gives 0.327 eV per atom. As for the total energy: -28.446 eV/cell. Its energy above the lowest structure with this stoichiometry is 0.123 eV per atom.

The space group is P4/mmm (No. 123) and the conventional cell measures 3.7132, 3.7132 and 3.7201 Å, with angles of 90.00, 90.00 and 90.00 degrees. The inequivalent atoms are Co at (0.0000, 0.0000, 0.0000), Cu at (0.5000, 0.5000, 0.0000) and Ru at (0.0000, 0.5000, 0.5000).